BaHfZn2 | PBE | relaxed

a b c (Å): 8.040 8.040 7.267
angles (deg): 90.00 90.00 90.00
Space group I-42d (No. 122)
One atom of each set of equivalent atoms:
Ba 0.000 0.000 0.000 x4
Hf 0.000 0.000 0.500 x4
Zn 0.189 0.250 0.625 x8

BaHf3Zr | PBE | relaxed

a b c (Å): 5.220 5.220 5.220
angles (deg): 90.00 90.00 90.00
Space group Pm-3m (No. 221)
One atom of each set of equivalent atoms:
Ba 0.000 0.000 0.000 x1
Hf 0.000 0.000 0.500 x3
Zr 0.500 0.500 0.500 x1

BaHfZr3 | PBE | relaxed

a b c (Å): 5.408 5.408 5.408
angles (deg): 90.00 90.00 90.00
Space group Pm-3m (No. 221)
One atom of each set of equivalent atoms:
Ba 0.000 0.000 0.000 x1
Hf 0.500 0.500 0.500 x1
Zr 0.000 0.500 0.500 x3

Ba2HfZr | PBE | relaxed

a b c (Å): 9.351 9.351 6.378
angles (deg): 90.00 90.00 90.00
Space group I-42d (No. 122)
One atom of each set of equivalent atoms:
Ba 0.247 0.250 0.125 x8
Hf 0.000 0.000 0.000 x4
Zr 0.000 0.000 0.500 x4

no.,E_tot (eV per atom),ΔH_f (0 K) (eV/atom)
1,-3.16,0.451
2,-6.16,1.907
3,-6.64,0.862
4,-4.43,1.160